Entry 1:
The following is a DFT calculation (GGA-PBEsol) of a relaxed In2PtBr crystal. Values from VASP.

Quantum ESPRESSO input file:
```
&SYSTEM
  ibrav = 0, nat = 4, ntyp = 3
/
ATOMIC_SPECIES
Pt 195.08 Pt.upf
Br 79.90 Br.upf
In 114.82 In.upf
CELL_PARAMETERS angstrom
-1.3505 1.1695 3.0780
0.3937 -3.2370 1.4027
7.4325 2.8953 0.1036
ATOMIC_POSITIONS angstrom
Pt 0.0758 -0.8854 2.4271
Br 3.6044 1.7303 2.9814
In 6.1196 0.7324 4.4642
In 2.6733 -0.9556 1.5360
```

* energy above the lowest structure with this stoichiometry: 0.000 eV per atom
* energy relative to the elements, uncorrected: -287 meV/atom
* calculated total energy: -3.987 eV per atom
* space group: Imm2 (44)

Entry 2:
The following is a DFT calculation (GGA-PBEsol) of a relaxed Rb2InBr crystal. Values from VASP.

Quantum ESPRESSO input file:
```
&SYSTEM
  ibrav = 0, nat = 4, ntyp = 3
/
ATOMIC_SPECIES
In 114.82 In.upf
Rb 85.47 Rb.upf
Br 79.90 Br.upf
CELL_PARAMETERS angstrom
-0.4858 -1.4224 -5.9455
-5.1885 -2.4634 -2.1494
-3.6730 3.2867 -3.6489
ATOMIC_POSITIONS angstrom
In -4.6737 -0.2996 -5.8719
Rb -7.0105 -0.4493 -8.8079
Rb -2.3368 -0.1498 -2.9360
Br 0.0000 0.0000 0.0000
```

* energy relative to the elements, uncorrected: -427 meV/atom
* calculated total energy: -2.153 eV per atom
* space group: Fm-3m (225)

Entry 3:
The following is a DFT calculation (GGA-PBEsol) of a relaxed Rb2ScInBr6 crystal. Values from VASP.

Quantum ESPRESSO input file:
```
&SYSTEM
  ibrav = 0, nat = 10, ntyp = 4
/
ATOMIC_SPECIES
Br 79.90 Br.upf
Sc 44.96 Sc.upf
In 114.82 In.upf
Rb 85.47 Rb.upf
CELL_PARAMETERS angstrom
8.0142 0.0000 0.0000
4.0071 6.9405 0.0000
4.0071 2.3135 6.5436
ATOMIC_POSITIONS angstrom
Br 8.0142 2.1437 1.5158
Sc 0.0000 0.0000 0.0000
Br 10.1648 5.8687 1.5158
Br 8.0142 7.1103 5.0278
In 8.0142 4.6270 3.2718
Rb 4.0071 2.3135 1.6359
Br 5.8636 5.8687 1.5158
Br 10.1648 3.3853 5.0278
Rb 12.0213 6.9405 4.9077
Br 5.8636 3.3853 5.0278
```

* energy relative to the elements, uncorrected: -1484 meV/atom
* calculated total energy: -3.770 eV per atom
* space group: Fm-3m (225)

Entry 4:
The following is a DFT calculation (GGA-PBEsol) of a relaxed In4ReBr crystal. Values from VASP.

Quantum ESPRESSO input file:
```
&SYSTEM
  ibrav = 0, nat = 6, ntyp = 3
/
ATOMIC_SPECIES
Re 186.21 Re.upf
In 114.82 In.upf
Br 79.90 Br.upf
CELL_PARAMETERS angstrom
5.8014 0.0000 0.0000
2.9007 5.0242 0.0000
2.9007 1.6747 4.7368
ATOMIC_POSITIONS angstrom
Re 8.7021 5.0242 3.5526
In 5.8014 5.0188 1.7782
Br 0.0000 0.0000 0.0000
In 4.3557 2.5148 1.7782
In 7.2471 2.5148 1.7782
In 5.8014 3.3494 4.1391
```

* energy relative to the elements, uncorrected: 866 meV/atom
* calculated total energy: -3.656 eV per atom
* space group: F-43m (216)

Entry 5:
The following is a DFT calculation (GGA-PBEsol) of a relaxed InReRu2Br crystal. Values from VASP.

Quantum ESPRESSO input file:
```
&SYSTEM
  ibrav = 0, nat = 5, ntyp = 4
/
ATOMIC_SPECIES
Re 186.21 Re.upf
Ru 101.07 Ru.upf
Br 79.90 Br.upf
In 114.82 In.upf
CELL_PARAMETERS angstrom
-0.8360 3.6098 2.3939
0.4942 -2.3427 3.7051
4.9612 1.1188 0.0456
ATOMIC_POSITIONS angstrom
Re 2.3097 1.1929 3.0723
Ru 0.2471 -1.1713 1.8525
Ru -0.4180 1.8049 1.1970
Br 0.0000 0.0000 0.0000
In 2.4806 0.5594 0.0228
```

* energy relative to the elements, uncorrected: 2171 meV/atom
* calculated total energy: -5.535 eV per atom
* space group: P4/mmm (123)

Entry 6:
The following is a DFT calculation (GGA-PBEsol) of a relaxed InReSeBr2 crystal. Values from VASP.

Quantum ESPRESSO input file:
```
&SYSTEM
  ibrav = 0, nat = 5, ntyp = 4
/
ATOMIC_SPECIES
Re 186.21 Re.upf
Br 79.90 Br.upf
In 114.82 In.upf
Se 78.96 Se.upf
CELL_PARAMETERS angstrom
-2.8825 3.3275 -1.5964
-2.6947 -3.6151 -2.6698
-3.1294 -0.7247 4.1399
ATOMIC_POSITIONS angstrom
Re 0.0000 0.0000 0.0000
Br -1.5647 -0.3624 2.0700
In -4.3533 -0.5061 -0.0631
Se -1.4412 1.6638 -0.7982
Br -1.3473 -1.8075 -1.3349
```

* energy relative to the elements, uncorrected: 191 meV/atom
* calculated total energy: -4.590 eV per atom
* space group: P4/mmm (123)